Pr2Zn4GeAu3: optimized geometry, PBE-GGA.

Geometry as POSCAR:
```
Pr2Zn4GeAu3
1.0
4.3735 0.0000 0.0000
0.0000 4.3735 0.0000
0.0000 0.0000 10.8059
Pr Zn Ge Au
2 4 1 3
Cartesian
2.1867 0.0000 2.7546
0.0000 2.1867 8.0512
2.1867 2.1867 0.0000
0.0000 0.0000 0.0000
2.1867 0.0000 6.8197
0.0000 2.1867 3.9861
2.1867 2.1867 5.4029
0.0000 0.0000 5.4029
2.1867 0.0000 9.3431
0.0000 2.1867 1.4627
```

Output
Volume   20.67 Å³ per atom
D(E_F)   5.22 states/eV/f.u.

=====

Pr2Zn3Ge4Au: optimized geometry, PBE-GGA.

Geometry as POSCAR:
```
Pr2Zn3Ge4Au
1.0
4.4089 0.0000 0.0000
0.0000 4.4089 0.0000
0.0000 0.0000 10.4037
Pr Zn Ge Au
2 3 4 1
Cartesian
2.2045 0.0000 2.5697
0.0000 2.2045 7.8340
0.0000 0.0000 5.2018
2.2045 0.0000 9.0850
0.0000 2.2045 1.3186
2.2045 2.2045 0.0000
0.0000 0.0000 0.0000
2.2045 0.0000 6.6577
0.0000 2.2045 3.7460
2.2045 2.2045 5.2018
```

Output
Volume   20.22 Å³ per atom
D(E_F)   2.71 states/eV/f.u.

=====

GePtAu2: optimized geometry, PBE-GGA.

Geometry as POSCAR:
```
GePtAu2
1.0
7.4316 0.0000 0.0000
0.0000 7.4316 0.0000
3.7158 3.7158 2.6490
Ge Au Pt
2 4 2
Cartesian
3.7158 3.7158 0.0000
3.7158 7.4316 1.3245
5.4342 1.8579 0.6623
1.9974 5.5737 0.6623
5.5737 5.7131 1.9868
9.2895 9.1500 1.9868
0.0000 0.0000 0.0000
7.4316 3.7158 1.3245
```

Output
Volume   18.29 Å³ per atom
D(E_F)   1.82 states/eV/f.u.

=====

Computed magnetic moment, in the same sequence as the records: 0.0; 0.0; 0.0 μB/f.u..
Computed DFT total energy, in the same sequence as the records: -34.09; -39.58; -33.97 eV/cell.